(1)
Density functional theory data (PBE-GGA) for a relaxed Ba3TbAs3 crystal.

Computed properties:
ΔE_f in eV/atom: -1.159

a = 9.619 Å, b = 8.378 Å, c = 13.350 Å
α = 90.00°, β = 94.48°, γ = 90.00°
Space group P2_1/c (No. 14)
Asymmetric unit:
Ba (0.082, 0.158, 0.136) x4
Ba (0.336, 0.735, 0.798) x4
Ba (0.395, 0.232, 0.924) x4
Tb (0.163, 0.596, 0.058) x4
As (0.103, 0.042, 0.368) x4
As (0.265, 0.602, 0.519) x4
As (0.364, 0.082, 0.668) x4

(2)
Density functional theory data (PBE-GGA) for a relaxed DyPd4Pt crystal.

Computed properties:
ΔE_f in eV/atom: -0.345
Polymorph energy (0 for the lowest one) in meV per atom: 255.1

a = 4.746 Å, b = 17.260 Å, c = 5.542 Å
α = 90.00°, β = 90.00°, γ = 90.00°
Space group Cmc2_1 (No. 36)
Asymmetric unit:
Dy (0.000, 0.116, 0.000) x4
Pd (0.000, 0.127, 0.501) x4
Pd (0.000, 0.286, 0.515) x4
Pd (0.000, 0.289, 0.014) x4
Pd (0.000, 0.429, 0.249) x4
Pt (0.000, 0.425, 0.763) x4

(3)
Density functional theory data (PBE-GGA) for a relaxed PmHfZnAu crystal.

Computed properties:
ΔE_f in eV/atom: -0.279

a = 7.053 Å, b = 7.053 Å, c = 7.053 Å
α = 90.00°, β = 90.00°, γ = 90.00°
Space group F-43m (No. 216)
Asymmetric unit:
Pm (0.000, 0.000, 0.000) x4
Hf (0.000, 0.000, 0.500) x4
Zn (0.250, 0.250, 0.250) x4
Au (0.250, 0.250, 0.750) x4